The following is a PBE calculation of a relaxed structure of CrIn2PbCl6, from Alexandria.

abc: 5.6319 7.4315 7.4315
angles: 90.00 90.00 90.00
Last column: nearest neighbours and their distance in Å.
Fractional coordinates of all 10 atoms:
Cr (0.6364, 0.0000, 0.0000)  5 Cl 2.44-2.45
In (0.0329, 0.5000, 0.0000)  4 Cl 3.24
In (0.0329, 0.0000, 0.5000)  4 Cl 3.24
Pb (0.6228, 0.5000, 0.5000)  6 Cl 2.77-2.87
Cl (0.6973, 0.2296, 0.2296)  1 Cr 2.44
Cl (0.6973, 0.2296, 0.7704)  1 Cr 2.44
Cl (0.1305, 0.5000, 0.5000)  2 Pb 2.77-2.86
Cl (0.2021, 0.0000, 0.0000)  1 Cr 2.45
Cl (0.6973, 0.7704, 0.7704)  1 Cr 2.44
Cl (0.6973, 0.7704, 0.2296)  1 Cr 2.44

Formation energy from raw total energies ... -903 meV/atom
E_tot ... -38.9 eV for the cell shown
Mass density ... 3.7 g cm⁻³
Crystal system ... tetragonal
N(E_F) ... 2.8 states/eV per cell
Volume ... 311.0 Å³/f.u.